ZnBiF4 | PBE | relaxed

Values from the calculation:
The energy relative to the elements, uncorrected is -1.84 eV/atom. The calculated total energy is -3.950 eV/atom. As for the space group: I-4, No. 82.

a = 5.894 Å, b = 5.894 Å, c = 5.076 Å
α = 125.49°, β = 125.49°, γ = 90.00°
Fractional coordinates of all 6 atoms:
Bi 0.500 0.500 0.000
Zn 0.750 0.250 0.500
F 0.440 0.994 0.403
F 0.006 0.037 0.597
F 0.963 0.409 0.403
F 0.591 0.560 0.597